Entry 1:
{"formula": "CuSb", "functional": "SCAN", "state": "single point on PBEsol structure", "lattice_angstrom": [[3.891, 0.000, 0.000], [0.000, 3.683, 0.000], [0.000, 0.000, 5.406]], "species": ["Cu", "Cu", "Sb", "Sb"], "frac_coords": [[0.250, 0.000, 0.137], [0.750, 0.000, 0.863], [0.250, 0.500, 0.739], [0.750, 0.500, 0.261]], "dft_energy_ev_per_fu": -51.991, "raw_formation_energy_ev_per_fu": 0.5, "crystal_system": "orthorhombic"}

Entry 2:
{"formula": "SrAlZn2", "functional": "SCAN", "state": "single point on PBEsol structure", "lattice_angstrom": [[4.284, 0.000, 0.000], [-2.142, 3.710, 0.000], [0.000, 0.000, 17.096]], "species": ["Sr", "Sr", "Sr", "Al", "Al", "Al", "Zn", "Zn", "Zn", "Zn", "Zn", "Zn"], "frac_coords": [[0.000, 0.000, 0.000], [0.333, 0.667, 0.667], [0.667, 0.333, 0.333], [0.000, 0.000, 0.201], [0.333, 0.667, 0.868], [0.667, 0.333, 0.534], [0.000, 0.000, 0.482], [0.000, 0.000, 0.801], [0.333, 0.667, 0.148], [0.333, 0.667, 0.468], [0.667, 0.333, 0.135], [0.667, 0.333, 0.815]], "dft_energy_ev_per_fu": -58.079, "crystal_system": "trigonal"}

Entry 3:
{"formula": "FeSbTe", "functional": "SCAN", "state": "single point on PBEsol structure", "lattice_angstrom": [[6.432, 0.000, 0.000], [0.000, 6.278, 0.000], [-2.734, 0.000, 5.853]], "species": ["Fe", "Fe", "Fe", "Fe", "Sb", "Sb", "Sb", "Sb", "Te", "Te", "Te", "Te"], "frac_coords": [[0.223, 0.001, 0.209], [0.223, 0.499, 0.709], [0.777, 0.501, 0.291], [0.777, 0.999, 0.791], [0.362, 0.646, 0.120], [0.362, 0.854, 0.620], [0.638, 0.146, 0.380], [0.638, 0.354, 0.880], [0.150, 0.141, 0.828], [0.150, 0.359, 0.328], [0.850, 0.641, 0.672], [0.850, 0.859, 0.172]], "dft_energy_ev_per_fu": -92.846, "raw_formation_energy_ev_per_fu": -0.2, "crystal_system": "monoclinic"}

Entry 4:
{"formula": "ZrFePb2", "functional": "SCAN", "state": "single point on PBEsol structure", "lattice_angstrom": [[4.362, 0.000, 0.000], [0.000, 4.362, 0.000], [0.000, 0.000, 8.936]], "species": ["Zr", "Zr", "Fe", "Fe", "Pb", "Pb", "Pb", "Pb"], "frac_coords": [[0.000, 0.000, 0.000], [0.500, 0.500, 0.500], [0.000, 0.000, 0.500], [0.500, 0.500, 0.000], [0.000, 0.500, 0.250], [0.000, 0.500, 0.750], [0.500, 0.000, 0.250], [0.500, 0.000, 0.750]], "dft_energy_ev_per_fu": -199.756, "crystal_system": "tetragonal", "de_polymorph_mev_per_atom": 106}

Entry 5:
{"formula": "Na2GeTeO6", "functional": "SCAN", "state": "single point on PBEsol structure", "lattice_angstrom": [[2.566, 1.482, 5.332], [-2.566, 1.482, 5.332], [0.000, -2.963, 5.332]], "species": ["Na", "Na", "Ge", "Te", "O", "O", "O", "O", "O", "O"], "frac_coords": [[0.000, 0.000, 0.000], [0.281, 0.281, 0.281], [0.478, 0.478, 0.478], [0.802, 0.802, 0.802], [0.083, 0.450, 0.680], [0.205, 0.824, 0.596], [0.450, 0.680, 0.083], [0.596, 0.205, 0.824], [0.680, 0.083, 0.450], [0.824, 0.596, 0.205]], "dft_energy_ev_per_fu": -119.073, "raw_formation_energy_ev_per_fu": -16.9, "crystal_system": "trigonal"}

Entry 6:
{"formula": "In2FeCu", "functional": "SCAN", "state": "single point on PBEsol structure", "lattice_angstrom": [[6.407, 0.000, 0.000], [0.000, 6.407, 0.000], [0.000, 0.000, 6.407]], "species": ["In", "In", "In", "In", "In", "In", "In", "In", "Fe", "Fe", "Fe", "Fe", "Cu", "Cu", "Cu", "Cu"], "frac_coords": [[0.000, 0.000, 0.000], [0.000, 0.500, 0.500], [0.250, 0.250, 0.250], [0.250, 0.750, 0.750], [0.500, 0.000, 0.500], [0.500, 0.500, 0.000], [0.750, 0.250, 0.750], [0.750, 0.750, 0.250], [0.250, 0.250, 0.750], [0.250, 0.750, 0.250], [0.750, 0.250, 0.250], [0.750, 0.750, 0.750], [0.000, 0.000, 0.500], [0.000, 0.500, 0.000], [0.500, 0.000, 0.000], [0.500, 0.500, 0.500]], "dft_energy_ev_per_fu": -98.476, "crystal_system": "cubic", "de_polymorph_mev_per_atom": 200}

Entry 7:
{"formula": "AlAg2Te", "functional": "SCAN", "state": "single point on PBEsol structure", "lattice_angstrom": [[6.891, 0.000, 0.000], [0.000, 6.891, 0.000], [0.000, 0.000, 6.891]], "species": ["Al", "Al", "Al", "Al", "Ag", "Ag", "Ag", "Ag", "Ag", "Ag", "Ag", "Ag", "Te", "Te", "Te", "Te"], "frac_coords": [[0.000, 0.000, 0.000], [0.000, 0.500, 0.500], [0.500, 0.000, 0.500], [0.500, 0.500, 0.000], [0.250, 0.250, 0.250], [0.250, 0.250, 0.750], [0.250, 0.750, 0.250], [0.250, 0.750, 0.750], [0.750, 0.250, 0.250], [0.750, 0.250, 0.750], [0.750, 0.750, 0.250], [0.750, 0.750, 0.750], [0.000, 0.000, 0.500], [0.000, 0.500, 0.000], [0.500, 0.000, 0.000], [0.500, 0.500, 0.500]], "dft_energy_ev_per_fu": -106.721, "raw_formation_energy_ev_per_fu": 1.0, "crystal_system": "cubic", "de_polymorph_mev_per_atom": 56}

Entry 8:
{"formula": "InIr4Br", "functional": "SCAN", "state": "single point on PBEsol structure", "lattice_angstrom": [[0.000, 3.718, 3.718], [3.718, 0.000, 3.718], [3.718, 3.718, 0.000]], "species": ["In", "Ir", "Ir", "Ir", "Ir", "Br"], "frac_coords": [[0.000, 0.000, 0.000], [0.375, 0.375, 0.375], [0.375, 0.375, 0.876], [0.375, 0.876, 0.375], [0.876, 0.375, 0.375], [0.750, 0.750, 0.750]], "dft_energy_ev_per_fu": -331.771, "raw_formation_energy_ev_per_fu": 5.5, "crystal_system": "cubic"}

Calculated values (μB per cell) of M_tot for the records, taken in order: 0.00, 0.00, 0.00, 7.50, 0.00, 9.21, 0.00, 3.12.